No. 1
Below is ScGa2Os2 after structural relaxation, with properties calculated at the PBE-GGA level.

extended XYZ file:
```
10
Lattice="7.2706 0.0000 0.0000 0.0000 7.2706 0.0000 0.0000 0.0000 3.0216" Properties=species:S:1:pos:R:3 pbc="T T T"
Sc 0.0000 0.0000 0.0000
Sc 3.6353 3.6353 0.0000
Ga 1.1462 2.4891 1.5108
Ga 2.4891 6.1244 1.5108
Ga 4.7815 1.1462 1.5108
Ga 6.1244 4.7815 1.5108
Os 1.0088 4.6441 0.0000
Os 2.6265 1.0088 0.0000
Os 4.6441 6.2618 0.0000
Os 6.2618 2.6265 0.0000
```

Properties
Space group ... P4/mbm (127)
ΔH_f (0 K) ... -0.13 eV/atom
Energy relative to the lowest polymorph listed for this composition ... 8.7 kJ per mole of atoms
Crystal system ... tetragonal

***

No. 2
Below is TmPuIr2 after structural relaxation, with properties calculated at the PBE-GGA level.

extended XYZ file:
```
4
Lattice="4.9544 0.0000 0.0000 0.0000 4.9544 0.0000 0.0000 0.0000 3.2182" Properties=species:S:1:pos:R:3 pbc="T T T"
Tm 0.0000 0.0000 0.0000
Pu 2.4772 2.4772 0.0000
Ir 0.0000 2.4772 1.6091
Ir 2.4772 0.0000 1.6091
```

Properties
Space group ... P4/mmm (123)
ΔH_f (0 K) ... -0.64 eV/atom
Crystal system ... tetragonal

***

No. 3
Below is Fe2AsP after structural relaxation, with properties calculated at the PBE-GGA level.

extended XYZ file:
```
4
Lattice="3.1747 0.0000 0.0000 0.0000 3.1747 0.0000 0.0000 0.0000 4.9066" Properties=species:S:1:pos:R:3 pbc="T T T"
Fe 0.0000 0.0000 0.0000
Fe 1.5873 1.5873 1.6891
As 1.5873 1.5873 4.0883
P 0.0000 0.0000 2.3267
```

Properties
Space group ... P4mm (99)
ΔH_f (0 K) ... -0.12 eV/atom
Crystal system ... tetragonal

***

No. 4
Below is PmErBiSe after structural relaxation, with properties calculated at the PBE-GGA level.

extended XYZ file:
```
4
Lattice="2.1057 1.2157 7.5803 -2.1057 1.2157 7.5803 0.0000 -2.4315 7.5803" Properties=species:S:1:pos:R:3 pbc="T T T"
Pm 0.0000 0.0000 0.0000
Er 0.0000 0.0000 3.6987
Bi 0.0000 0.0000 13.1239
Se 0.0000 0.0000 17.1281
```

Properties
Space group ... R3m (160)
Formation energy from raw total energies ... -4.82 eV per formula unit
Crystal system ... trigonal

***

No. 5
Below is NaAlSbTe after structural relaxation, with properties calculated at the PBE-GGA level.

extended XYZ file:
```
4
Lattice="4.4375 0.0000 0.0000 0.0000 1.9088 7.5254 0.0000 -1.9088 7.5254" Properties=species:S:1:pos:R:3 pbc="T T T"
Na 0.0000 0.0000 0.0000
Al 2.2188 0.0000 3.2286
Sb 0.0000 0.0000 4.7855
Te 2.2188 0.0000 8.9285
```

Properties
Space group ... Amm2 (38)
Formation energy from raw total energies ... -1.50 eV per formula unit
Energy relative to the lowest polymorph listed for this composition ... 0.0 kJ per mole of atoms
Crystal system ... orthorhombic

***

No. 6
Below is Ce6Sb3N after structural relaxation, with properties calculated at the PBE-GGA level.

extended XYZ file:
```
20
Lattice="6.2852 0.0000 0.0000 0.0000 8.2819 0.0000 -6.2286 0.0000 10.6074" Properties=species:S:1:pos:R:3 pbc="T T T"
Ce -2.4915 1.8229 4.7925
Ce -5.6059 2.3180 10.0962
Ce -1.0161 5.4006 4.8461
Ce -4.1304 7.0224 10.1498
Ce 0.7764 0.2882 2.3497
Ce -2.3379 3.8528 7.6534
Ce 2.3945 4.4291 2.9540
Ce -0.7198 7.9938 8.2577
Ce 4.1869 1.2596 0.4576
Ce 1.0726 2.8814 5.7613
Ce 5.6624 5.9639 0.5112
Ce 2.5481 6.4590 5.8149
Sb -3.6613 0.9153 7.8927
Sb -0.5470 3.2257 2.5890
Sb 0.0283 0.0000 5.3037
Sb 3.1426 4.1410 0.0000
Sb 0.6036 5.0562 8.0184
Sb 3.7179 7.3667 2.7147
N 0.0000 0.0000 0.0000
N -3.1143 4.1410 5.3037
```

Properties
Space group ... P2_1/c (14)
Formation energy from raw total energies ... -8.16 eV per formula unit
Crystal system ... monoclinic

***

No. 7
Below is Ce2PrSmAs4 after structural relaxation, with properties calculated at the PBE-GGA level.

extended XYZ file:
```
8
Lattice="7.3388 0.0000 0.0000 0.0000 4.2375 0.0000 -2.4466 0.0000 6.9218" Properties=species:S:1:pos:R:3 pbc="T T T"
Ce 0.0000 0.0000 0.0000
Ce -1.2233 2.1187 3.4609
Pr 2.4461 0.0000 3.4609
Sm 3.6694 2.1187 0.0000
As 1.1881 2.1187 1.6965
As -0.0349 0.0000 5.2006
As 4.9271 0.0000 1.7212
As 3.7041 2.1187 5.2253
```

Properties
Space group ... P2/m (10)
ΔH_f (0 K) ... -1.48 eV/atom
Crystal system ... monoclinic

***

No. 8
Below is LaBeCd4 after structural relaxation, with properties calculated at the PBE-GGA level.

extended XYZ file:
```
6
Lattice="0.0000 4.1539 4.1539 4.1539 0.0000 4.1539 4.1539 4.1539 0.0000" Properties=species:S:1:pos:R:3 pbc="T T T"
La 0.0000 0.0000 0.0000
Be 6.2308 6.2308 6.2308
Cd 3.1185 3.1185 3.1185
Cd 5.1892 5.1892 3.1185
Cd 5.1892 3.1185 5.1892
Cd 3.1185 5.1892 5.1892
```

Properties
Space group ... F-43m (216)
ΔH_f (0 K) ... 0.19 eV/atom
Crystal system ... cubic

***

No. 9
Below is Sm2YHfP4 after structural relaxation, with properties calculated at the PBE-GGA level.

extended XYZ file:
```
8
Lattice="6.8727 0.0000 0.0000 0.0000 3.9625 0.0000 -2.2666 0.0000 6.4995" Properties=species:S:1:pos:R:3 pbc="T T T"
Sm 0.0000 0.0000 0.0000
Sm 3.4363 1.9812 0.0000
Y -1.1333 1.9812 3.2497
Hf 2.3030 0.0000 3.2497
P 0.0906 0.0000 4.7852
P 1.2176 1.9812 1.7548
P 3.3885 1.9812 4.7446
P 4.5155 0.0000 1.7143
```

Properties
Space group ... P2/m (10)
ΔH_f (0 K) ... -1.51 eV/atom
Crystal system ... monoclinic

***

No. 10
Below is PuSn2P after structural relaxation, with properties calculated at the PBE-GGA level.

extended XYZ file:
```
4
Lattice="1.8185 1.0499 8.7496 -1.8185 1.0499 8.7496 0.0000 -2.0998 8.7496" Properties=species:S:1:pos:R:3 pbc="T T T"
Pu 0.0000 0.0000 0.0000
Sn 0.0000 0.0000 6.1091
Sn 0.0000 0.0000 20.1396
P 0.0000 0.0000 13.1243
```

Properties
Space group ... R-3m (166)
ΔH_f (0 K) ... 0.01 eV/atom
Crystal system ... trigonal

***

No. 11
Below is Tc2TeIr after structural relaxation, with properties calculated at the PBE-GGA level.

extended XYZ file:
```
4
Lattice="4.0978 0.0000 0.0000 0.0000 1.4569 5.5124 0.0000 -1.4569 5.5124" Properties=species:S:1:pos:R:3 pbc="T T T"
Tc 0.0000 0.0000 0.0000
Tc 2.0489 0.0000 4.2065
Te 2.0489 0.0000 6.7811
Ir 0.0000 0.0000 8.4313
```

Properties
Space group ... Amm2 (38)
Formation energy from raw total energies ... 1.35 eV per formula unit
Crystal system ... orthorhombic

***

No. 12
Below is CeScCuOs after structural relaxation, with properties calculated at the PBE-GGA level.

extended XYZ file:
```
4
Lattice="0.0000 3.3696 3.3696 3.3696 0.0000 3.3696 3.3696 3.3696 0.0000" Properties=species:S:1:pos:R:3 pbc="T T T"
Ce 0.0000 0.0000 0.0000
Sc 3.3696 3.3696 3.3696
Cu 1.6848 1.6848 1.6848
Os 5.0543 5.0543 5.0543
```

Properties
Space group ... F-43m (216)
ΔH_f (0 K) ... -0.22 eV/atom
Crystal system ... cubic